Record 1
# La5Nd2Sm5 | the Alexandria database | GGA-PBE | relaxed
# calculated formation energy: 0.019 eV per atom
# Fermi-level density of states: 43.6 states/eV per cell
# uncorrected energy: -4.795 eV per atom
data_La5Nd2Sm5
_cell_length_a 15.683
_cell_length_b 5.216
_cell_length_c 11.629
_cell_angle_alpha 90.00
_cell_angle_beta 116.69
_cell_angle_gamma 90.00
_space_group_name_H-M_alt 'C 1 2/m 1'
_space_group_IT_number 12
loop_
_space_group_symop_operation_xyz
'x,y,z'
'-x,-y,-z'
'-x,y,-z'
'x,-y,z'
'x+1/2,y+1/2,z'
'-x+1/2,-y+1/2,-z'
'-x+1/2,y+1/2,-z'
'x+1/2,-y+1/2,z'
loop_
_atom_site_label
_atom_site_fract_x
_atom_site_fract_y
_atom_site_fract_z
La1 0.000 0.000 0.000
La2 0.083 0.000 0.750
La3 0.249 0.000 0.250
Nd1 0.166 0.000 0.500
Sm1 0.000 0.500 0.500
Sm2 0.084 0.500 0.251
Sm3 0.167 0.500 0.000


Record 2
# Tb6TmTl4 | the Alexandria database | GGA-PBE | relaxed
# calculated formation energy: -0.139 eV per atom
# Fermi-level density of states: 19.9 states/eV per cell
# uncorrected energy: -3.931 eV per atom
data_Tb6TmTl4
_cell_length_a 6.417
_cell_length_b 6.417
_cell_length_c 16.641
_cell_angle_alpha 90.00
_cell_angle_beta 90.00
_cell_angle_gamma 90.00
_space_group_name_H-M_alt 'I -4 2 m'
_space_group_IT_number 121
_space_group_name_Hall 'I -4 2'
loop_
_atom_site_label
_atom_site_fract_x
_atom_site_fract_y
_atom_site_fract_z
Tb1 0.000 0.500 0.000
Tb2 0.236 0.236 0.179
Tm1 0.000 0.000 0.500
Tl1 0.243 0.243 0.366